# 1
Material: Ba4Au2Br
Method: DFT, GGA-PBE
State: optimized geometry

Unit cell a=6.3620 b=6.3620 c=16.0174 alpha=90.00 beta=90.00 gamma=90.00
Space group I4/mmm (No. 139)
One atom of each set of equivalent atoms:
Ba: 0.0000 0.0000 0.2168 x4
Ba: 0.0000 0.5000 0.0000 x4
Au: 0.0000 0.0000 0.4118 x4
Br: 0.0000 0.0000 0.0000 x2

Output
- ΔE_f (raw): -68 kJ per mole of atoms
- Size of the total moment: 0.00 μB per atom
- Calculated volume: 46.31 A^3/atom
- Uncorrected energy: -2.98 eV/atom

# 2
Material: RbNa2CdIn
Method: DFT, GGA-PBE
State: optimized geometry

Unit cell a=5.9988 b=5.9988 c=5.6668 alpha=90.00 beta=90.00 gamma=90.00
Space group P4/mmm (No. 123)
One atom of each set of equivalent atoms:
Rb: 0.0000 0.0000 0.0000 x1
Na: 0.0000 0.5000 0.5000 x2
Cd: 0.5000 0.5000 0.5000 x1
In: 0.5000 0.5000 0.0000 x1

Output
- E_form: 0.017 eV/atom
- Size of the total moment: 0.00 μB per atom
- Calculated volume: 40.78 A^3/atom
- Uncorrected energy: -1.43 eV/atom